The following is a DFT calculation (PBE-GGA) of a relaxed AgPbAu crystal.

Results
* space group: C2/m
* DOS at the Fermi energy: 2.310 states/eV/cell
* relative energy among the computed polymorphs: 17.6 kJ/mol of formula units

abc: 4.610 4.610 7.760
angles: 90.55 90.55 60.31
Element x y z (fractional)
Ag 0.167 0.167 0.434
Ag 0.833 0.833 0.566
Pb 0.168 0.168 0.848
Pb 0.832 0.832 0.152
Au 0.500 0.500 0.310
Au 0.500 0.500 0.690